1.
VASP calculation (GGA-PBE) on HoEr2Mg3AgHg2 after structural relaxation.

Volume, Å³/cell: 429
Crystal system: orthorhombic
Density, g/cm³: 8.365

Cell and atoms, written as CIF:
```
data_HoEr2Mg3AgHg2
_space_group_name_H-M_alt 'A m m 2'
_space_group_IT_number 38
_cell_length_a 4.1199
_cell_length_b 13.4358
_cell_length_c 7.7560
_cell_angle_alpha 90.00
_cell_angle_beta 90.00
_cell_angle_gamma 90.00
loop_
_space_group_symop_operation_xyz
'x,y,z'
'-x,-y,z'
'-x,y,z'
'x,-y,z'
'x,y+1/2,z+1/2'
'-x,-y+1/2,z+1/2'
'-x,y+1/2,z+1/2'
'x,-y+1/2,z+1/2'
loop_
_atom_site_label
_atom_site_fract_x
_atom_site_fract_y
_atom_site_fract_z
Ho1 0.0000 0.0000 0.0000
Er1 0.0000 0.2048 0.3855
Mg1 0.5000 0.0000 0.3443
Mg2 0.5000 0.1230 0.7134
Ag1 0.0000 0.0000 0.5903
Hg1 0.5000 0.1667 0.0903
```

---

2.
VASP calculation (GGA-PBE) on NdEr2Mg3AgHg2 after structural relaxation.

Volume, Å³/cell: 441
Crystal system: orthorhombic
Density, g/cm³: 7.990

Cell and atoms, written as CIF:
```
data_NdEr2Mg3AgHg2
_space_group_name_H-M_alt 'A m m 2'
_space_group_IT_number 38
_cell_length_a 4.1893
_cell_length_b 13.5586
_cell_length_c 7.7623
_cell_angle_alpha 90.00
_cell_angle_beta 90.00
_cell_angle_gamma 90.00
loop_
_space_group_symop_operation_xyz
'x,y,z'
'-x,-y,z'
'-x,y,z'
'x,-y,z'
'x,y+1/2,z+1/2'
'-x,-y+1/2,z+1/2'
'-x,y+1/2,z+1/2'
'x,-y+1/2,z+1/2'
loop_
_atom_site_label
_atom_site_fract_x
_atom_site_fract_y
_atom_site_fract_z
Nd1 0.0000 0.0000 0.0000
Er1 0.0000 0.2044 0.6152
Mg1 0.5000 0.0000 0.6542
Mg2 0.5000 0.1228 0.2907
Ag1 0.0000 0.0000 0.4169
Hg1 0.5000 0.1713 0.9094
```

---

3.
VASP calculation (GGA-PBE) on Nd2ErMg3AgHg2 after structural relaxation.

Volume, Å³/cell: 455
Crystal system: orthorhombic
Density, g/cm³: 7.575

Cell and atoms, written as CIF:
```
data_Nd2ErMg3AgHg2
_space_group_name_H-M_alt 'A m m 2'
_space_group_IT_number 38
_cell_length_a 4.2341
_cell_length_b 13.6229
_cell_length_c 7.8876
_cell_angle_alpha 90.00
_cell_angle_beta 90.00
_cell_angle_gamma 90.00
loop_
_space_group_symop_operation_xyz
'x,y,z'
'-x,-y,z'
'-x,y,z'
'x,-y,z'
'x,y+1/2,z+1/2'
'-x,-y+1/2,z+1/2'
'-x,y+1/2,z+1/2'
'x,-y+1/2,z+1/2'
loop_
_atom_site_label
_atom_site_fract_x
_atom_site_fract_y
_atom_site_fract_z
Nd1 0.0000 0.2048 0.0000
Er1 0.0000 0.0000 0.6134
Mg1 0.5000 0.0000 0.9617
Mg2 0.5000 0.1200 0.3288
Ag1 0.0000 0.0000 0.2107
Hg1 0.5000 0.1615 0.7028
```

---

4.
VASP calculation (GGA-PBE) on Pr2ErMg3AgHg2 after structural relaxation.

Volume, Å³/cell: 460
Crystal system: orthorhombic
Density, g/cm³: 7.442

Cell and atoms, written as CIF:
```
data_Pr2ErMg3AgHg2
_space_group_name_H-M_alt 'A m m 2'
_space_group_IT_number 38
_cell_length_a 4.2537
_cell_length_b 13.6760
_cell_length_c 7.9091
_cell_angle_alpha 90.00
_cell_angle_beta 90.00
_cell_angle_gamma 90.00
loop_
_space_group_symop_operation_xyz
'x,y,z'
'-x,-y,z'
'-x,y,z'
'x,-y,z'
'x,y+1/2,z+1/2'
'-x,-y+1/2,z+1/2'
'-x,y+1/2,z+1/2'
'x,-y+1/2,z+1/2'
loop_
_atom_site_label
_atom_site_fract_x
_atom_site_fract_y
_atom_site_fract_z
Pr1 0.0000 0.2048 0.0000
Er1 0.0000 0.0000 0.6134
Mg1 0.5000 0.0000 0.9621
Mg2 0.5000 0.1193 0.3291
Ag1 0.0000 0.0000 0.2117
Hg1 0.5000 0.1603 0.7022
```

---

5.
VASP calculation (GGA-PBE) on ErTm2Mg3AgHg2 after structural relaxation.

Volume, Å³/cell: 425
Crystal system: orthorhombic
Density, g/cm³: 8.504

Cell and atoms, written as CIF:
```
data_ErTm2Mg3AgHg2
_space_group_name_H-M_alt 'A m m 2'
_space_group_IT_number 38
_cell_length_a 4.1058
_cell_length_b 13.3924
_cell_length_c 7.7213
_cell_angle_alpha 90.00
_cell_angle_beta 90.00
_cell_angle_gamma 90.00
loop_
_space_group_symop_operation_xyz
'x,y,z'
'-x,-y,z'
'-x,y,z'
'x,-y,z'
'x,y+1/2,z+1/2'
'-x,-y+1/2,z+1/2'
'-x,y+1/2,z+1/2'
'x,-y+1/2,z+1/2'
loop_
_atom_site_label
_atom_site_fract_x
_atom_site_fract_y
_atom_site_fract_z
Er1 0.0000 0.0000 0.0000
Tm1 0.0000 0.2048 0.3853
Mg1 0.5000 0.0000 0.3440
Mg2 0.5000 0.1232 0.7132
Ag1 0.0000 0.0000 0.5899
Hg1 0.5000 0.1669 0.0902
```

---

6.
VASP calculation (GGA-PBE) on Y2ErMg3AgHg2 after structural relaxation.

Volume, Å³/cell: 434
Crystal system: orthorhombic
Density, g/cm³: 7.099

Cell and atoms, written as CIF:
```
data_Y2ErMg3AgHg2
_space_group_name_H-M_alt 'A m m 2'
_space_group_IT_number 38
_cell_length_a 4.1483
_cell_length_b 13.4185
_cell_length_c 7.7908
_cell_angle_alpha 90.00
_cell_angle_beta 90.00
_cell_angle_gamma 90.00
loop_
_space_group_symop_operation_xyz
'x,y,z'
'-x,-y,z'
'-x,y,z'
'x,-y,z'
'x,y+1/2,z+1/2'
'-x,-y+1/2,z+1/2'
'-x,y+1/2,z+1/2'
'x,-y+1/2,z+1/2'
loop_
_atom_site_label
_atom_site_fract_x
_atom_site_fract_y
_atom_site_fract_z
Y1 0.0000 0.2048 0.0000
Er1 0.0000 0.0000 0.6142
Mg1 0.5000 0.0000 0.9587
Mg2 0.5000 0.1227 0.3283
Ag1 0.0000 0.0000 0.2067
Hg1 0.5000 0.1652 0.7044
```

---

Respective total DFT energy (no corrections) values: -50.10; -50.36; -50.77; -50.75; -49.61; -58.01 eV for the cell shown.